[1]
Here is crystalline NdNpPb at its relaxed geometry from OQMD. Energies are from GGA-PBE.

Output
Magnetic moment in μB per cell: 23.98
Energy above the lowest structure with this stoichiometry in meV per atom: 0.0
ρ in Mg/m³: 9.1

```
data_NdNpPb
_chemical_formula_sum 'Nd4 Np4 Pb4'
_symmetry_space_group_name_H-M 'F -4 3 m'
_symmetry_Int_Tables_number 216
_symmetry_space_group_name_Hall 'F -4 2 3'
_cell_length_a 7.5414
_cell_length_b 7.5414
_cell_length_c 7.5414
_cell_angle_alpha 90.00
_cell_angle_beta 90.00
_cell_angle_gamma 90.00
loop_
_atom_site_label
_atom_site_fract_x
_atom_site_fract_y
_atom_site_fract_z
Nd1 0.0000 0.0000 0.0000
Np1 0.0000 0.0000 0.5000
Pb1 0.2500 0.2500 0.2500
```

=====

[2]
Here is crystalline NdNpPd at its relaxed geometry from OQMD. Energies are from GGA-PBE.

Output
Magnetic moment in μB per cell: 16.60
ρ in Mg/m³: 11.5
Uncorrected energy in eV per atom: -7.0017

```
data_NdNpPd
_chemical_formula_sum 'Nd4 Np4 Pd4'
_symmetry_space_group_name_H-M 'F -4 3 m'
_symmetry_Int_Tables_number 216
_symmetry_space_group_name_Hall 'F -4 2 3'
_cell_length_a 6.5505
_cell_length_b 6.5505
_cell_length_c 6.5505
_cell_angle_alpha 90.00
_cell_angle_beta 90.00
_cell_angle_gamma 90.00
loop_
_atom_site_label
_atom_site_fract_x
_atom_site_fract_y
_atom_site_fract_z
Nd1 0.0000 0.0000 0.0000
Np1 0.2500 0.2500 0.7500
Pd1 0.2500 0.2500 0.2500
```

=====

[3]
Here is crystalline PmNdNp at its relaxed geometry from OQMD. Energies are from GGA-PBE.

Output
Magnetic moment in μB per cell: 21.79
Energy above the lowest structure with this stoichiometry in meV per atom: 0.0
ρ in Mg/m³: 8.6

```
data_PmNdNp
_chemical_formula_sum 'Pm4 Nd4 Np4'
_symmetry_space_group_name_H-M 'F -4 3 m'
_symmetry_Int_Tables_number 216
_symmetry_space_group_name_Hall 'F -4 2 3'
_cell_length_a 7.4175
_cell_length_b 7.4175
_cell_length_c 7.4175
_cell_angle_alpha 90.00
_cell_angle_beta 90.00
_cell_angle_gamma 90.00
loop_
_atom_site_label
_atom_site_fract_x
_atom_site_fract_y
_atom_site_fract_z
Pm1 0.0000 0.0000 0.0000
Nd1 0.2500 0.2500 0.2500
Np1 0.0000 0.0000 0.5000
```

=====

[4]
Here is crystalline NdNpPt at its relaxed geometry from OQMD. Energies are from GGA-PBE.

Output
Magnetic moment in μB per cell: 21.39
Energy above the lowest structure with this stoichiometry in meV per atom: 0.0
ρ in Mg/m³: 11.2

```
data_NdNpPt
_chemical_formula_sum 'Nd4 Np4 Pt4'
_symmetry_space_group_name_H-M 'F -4 3 m'
_symmetry_Int_Tables_number 216
_symmetry_space_group_name_Hall 'F -4 2 3'
_cell_length_a 6.9865
_cell_length_b 6.9865
_cell_length_c 6.9865
_cell_angle_alpha 90.00
_cell_angle_beta 90.00
_cell_angle_gamma 90.00
loop_
_atom_site_label
_atom_site_fract_x
_atom_site_fract_y
_atom_site_fract_z
Nd1 0.0000 0.0000 0.0000
Np1 0.0000 0.0000 0.5000
Pt1 0.2500 0.2500 0.2500
```

=====

[5]
Here is crystalline RbNdNp at its relaxed geometry from OQMD. Energies are from GGA-PBE.

Output
Magnetic moment in μB per cell: 32.56
ρ in Mg/m³: 5.3
Uncorrected energy in eV per atom: -4.4880

```
data_RbNdNp
_chemical_formula_sum 'Rb4 Nd4 Np4'
_symmetry_space_group_name_H-M 'F -4 3 m'
_symmetry_Int_Tables_number 216
_symmetry_space_group_name_Hall 'F -4 2 3'
_cell_length_a 8.3644
_cell_length_b 8.3644
_cell_length_c 8.3644
_cell_angle_alpha 90.00
_cell_angle_beta 90.00
_cell_angle_gamma 90.00
loop_
_atom_site_label
_atom_site_fract_x
_atom_site_fract_y
_atom_site_fract_z
Rb1 0.0000 0.0000 0.0000
Nd1 0.2500 0.2500 0.7500
Np1 0.0000 0.0000 0.5000
```

=====

[6]
Here is crystalline NdNpRe at its relaxed geometry from OQMD. Energies are from GGA-PBE.

Output
Magnetic moment in μB per cell: 14.36
Energy above the lowest structure with this stoichiometry in meV per atom: 0.0
ρ in Mg/m³: 12.0

```
data_NdNpRe
_chemical_formula_sum 'Nd4 Np4 Re4'
_symmetry_space_group_name_H-M 'F -4 3 m'
_symmetry_Int_Tables_number 216
_symmetry_space_group_name_Hall 'F -4 2 3'
_cell_length_a 6.7993
_cell_length_b 6.7993
_cell_length_c 6.7993
_cell_angle_alpha 90.00
_cell_angle_beta 90.00
_cell_angle_gamma 90.00
loop_
_atom_site_label
_atom_site_fract_x
_atom_site_fract_y
_atom_site_fract_z
Nd1 0.0000 0.0000 0.0000
Np1 0.0000 0.0000 0.5000
Re1 0.2500 0.2500 0.7500
```

=====

- The highest ρ belongs to which entry?
  NdNpRe

=====

- Which of these has the highest ρ?
  NdNpRe

=====

- Among the records above, which one has the lowest magnetic moment?
  NdNpRe

=====

- Which of these has the highest ρ?
  NdNpRe